Li3Fe3P4O16: relaxed, PBE with a Hubbard U.

Output
The magnetic moment comes out at 0.267 μB per atom. For the energy above the most stable polymorph in this dataset, the calculation gives 105 meV/atom. For the calculated volume, the calculation gives 11.8 A^3/atom.

abc: 7.640 7.984 10.120
angles: 90.07 94.25 89.53
Sites, in units of the cell vectors:
O  0.761  0.131  0.734
O  0.653  0.931  0.464
O  0.613  0.309  0.907
O  0.555  0.345  0.154
O  0.248  0.870  0.267
O  0.847  0.433  0.280
O  0.759  0.633  0.526
O  0.605  0.302  0.402
O  0.050  0.133  0.404
O  0.443  0.640  0.842
O  0.386  0.692  0.598
O  0.249  0.367  0.473
O  0.948  0.858  0.089
O  0.264  0.376  0.982
O  0.149  0.567  0.218
O  0.907  0.807  0.347
O  0.945  0.860  0.597
O  0.102  0.199  0.646
O  0.759  0.131  0.221
O  0.847  0.433  0.778
O  0.551  0.361  0.661
O  0.731  0.631  0.024
O  0.360  0.075  0.027
O  0.443  0.634  0.342
O  0.349  0.067  0.528
O  0.116  0.190  0.155
O  0.238  0.873  0.774
O  0.395  0.691  0.097
O  0.065  0.147  0.909
O  0.646  0.935  0.975
O  0.877  0.803  0.846
O  0.142  0.577  0.724
Li  0.909  0.635  0.204
Li  0.408  0.864  0.449
Li  0.393  0.858  0.953
Li  0.590  0.129  0.548
Li  0.093  0.364  0.296
Li  0.111  0.360  0.798
Fe  0.899  0.642  0.700
Fe  0.493  0.506  0.001
Fe  0.602  0.140  0.060
Fe  0.473  0.490  0.497
Fe  0.008  0.016  0.749
Fe  0.017  0.992  0.250
P  0.202  0.199  0.022
P  0.808  0.815  0.475
P  0.693  0.307  0.768
P  0.701  0.311  0.275
P  0.799  0.805  0.987
P  0.195  0.185  0.513
P  0.301  0.686  0.230
P  0.303  0.698  0.732